A plane-wave DFT calculation with PBE was carried out for KCa2U2O7 after structural relaxation.

* uncorrected formation energy: -2.965 eV/atom
* Fermi-level density of states: 0.61 states/eV per atom

Lattice parameters (Å, degrees): 4.483 4.483 19.491 90.00 90.00 90.00
Space group I4/mmm (No. 139)
Symmetry-distinct sites (fractional):
K 0.000 0.000 0.000 (multiplicity 2)
Ca 0.000 0.500 0.250 (multiplicity 4)
U 0.000 0.000 0.389 (multiplicity 4)
O 0.000 0.000 0.276 (multiplicity 4)
O 0.000 0.000 0.500 (multiplicity 2)
O 0.000 0.500 0.122 (multiplicity 8)